Record 1
AlMo2Pb: optimized geometry, PBE-GGA.

Cell lengths 2.953, 2.953, 9.475 Å; angles 90.00, 90.00, 110.76 degrees
Atoms (fractional coordinates):
Pb: 0.000 0.000 0.487
Mo: 0.000 0.000 0.006
Mo: 0.500 0.500 0.216
Al: 0.500 0.500 0.790

Symmetry = Cmm2, No. 35
Offset from the most stable computed form = 219.2 meV/atom
DFT formation energy = 0.405 eV/atom

Record 2
AlMo2Pb: optimized geometry, PBE-GGA.

Cell lengths 3.308, 3.309, 7.417 Å; angles 63.50, 90.00, 90.00 degrees
Atoms (fractional coordinates):
Pb: 0.000 0.506 0.493
Mo: 0.000 0.006 0.994
Mo: 0.500 0.288 0.212
Al: 0.500 0.700 0.800

Symmetry = P4mm, No. 99
Offset from the most stable computed form = 0.0 meV/atom
DFT formation energy = 0.186 eV/atom

Record 3
AlMo2Pb: optimized geometry, PBE-GGA.

Cell lengths 4.652, 4.652, 4.652 Å; angles 60.00, 60.00, 60.00 degrees
Atoms (fractional coordinates):
Pb: 0.750 0.750 0.750
Mo: 0.000 0.000 0.000
Mo: 0.250 0.250 0.250
Al: 0.500 0.500 0.500

Symmetry = F-43m, No. 216
Offset from the most stable computed form = 369.4 meV/atom
DFT formation energy = 0.555 eV/atom

Record 4
Al2MoPb: optimized geometry, PBE-GGA.

Cell lengths 3.011, 3.011, 8.685 Å; angles 90.00, 90.00, 90.00 degrees
Each line ends with the local moment (μB).
Atoms (fractional coordinates):
Pb: 0.500 0.500 0.724  -0.01
Mo: 0.000 0.000 0.460  0.37
Al: 0.000 0.000 0.049  0.00
Al: 0.500 0.500 0.266  0.00

Symmetry = P4mm, No. 99
DFT formation energy = 0.347 eV/atom

Record 5
AlMoPb2: optimized geometry, PBE-GGA.

Cell lengths 4.449, 3.742, 5.630 Å; angles 70.39, 90.00, 90.00 degrees
Atoms (fractional coordinates):
Pb: 0.000 0.969 0.935
Pb: 0.500 0.279 0.319
Mo: 0.500 0.561 0.754
Al: 0.000 0.692 0.491

Symmetry = Pm, No. 6
DFT formation energy = 0.377 eV/atom

Record 6
AlMo2Pb: optimized geometry, PBE-GGA.

Cell lengths 9.277, 9.277, 9.277 Å; angles 18.78, 18.78, 18.78 degrees
Atoms (fractional coordinates):
Pb: 0.250 0.250 0.250
Mo: 0.004 0.004 0.004
Mo: 0.496 0.496 0.496
Al: 0.750 0.750 0.750

Symmetry = R-3m, No. 166
Offset from the most stable computed form = 367.7 meV/atom
DFT formation energy = 0.554 eV/atom

Record 7
AlMo2Pb: optimized geometry, PBE-GGA.

Cell lengths 5.209, 5.209, 5.209 Å; angles 134.37, 134.37, 66.51 degrees
Atoms (fractional coordinates):
Pb: 0.250 0.750 0.500
Mo: 0.000 0.000 0.000
Mo: 0.500 0.500 0.000
Al: 0.750 0.250 0.500

Symmetry = I4/mmm, No. 139
Offset from the most stable computed form = 409.6 meV/atom
DFT formation energy = 0.596 eV/atom

Record 8
Al2MoPb: optimized geometry, PBE-GGA.

Cell lengths 4.865, 4.865, 3.128 Å; angles 90.00, 90.00, 90.00 degrees
Atoms (fractional coordinates):
Pb: 0.000 0.500 0.500
Mo: 0.500 0.000 0.500
Al: 0.000 0.000 0.000
Al: 0.500 0.500 0.000

Symmetry = P4/mmm, No. 123
DFT formation energy = 0.420 eV/atom

Record 9
Al2MoPb: optimized geometry, PBE-GGA.

Cell lengths 3.202, 4.953, 5.614 Å; angles 56.44, 90.00, 90.00 degrees
Atoms (fractional coordinates):
Pb: 0.000 0.000 0.500
Mo: 0.500 0.500 0.500
Al: 0.000 0.000 0.000
Al: 0.500 0.500 0.000

Symmetry = P2/m, No. 10
DFT formation energy = 0.443 eV/atom

Record 10
AlMoPb2: optimized geometry, PBE-GGA.

Cell lengths 3.529, 5.199, 4.772 Å; angles 90.00, 90.00, 90.00 degrees
Each line ends with the local moment (μB).
Atoms (fractional coordinates):
Pb: 0.000 0.000 0.000  -0.01
Pb: 0.500 0.500 0.000  -0.01
Mo: 0.000 0.500 0.500  0.22
Al: 0.500 0.000 0.500  -0.01

Symmetry = Pmmm, No. 47
DFT formation energy = 0.721 eV/atom

Record 11
Al2MoPb: optimized geometry, PBE-GGA.

Cell lengths 4.747, 4.747, 4.747 Å; angles 60.00, 60.00, 60.00 degrees
Each line ends with the local moment (μB).
Atoms (fractional coordinates):
Pb: 0.750 0.750 0.750  0.00
Mo: 0.500 0.500 0.500  0.12
Al: 0.000 0.000 0.000  0.00
Al: 0.250 0.250 0.250  0.00

Symmetry = F-43m, No. 216
DFT formation energy = 0.659 eV/atom

Record 12
AlMo2Pb: optimized geometry, PBE-GGA.

Cell lengths 4.626, 4.626, 4.626 Å; angles 60.00, 60.00, 60.00 degrees
Atoms (fractional coordinates):
Pb: 0.500 0.500 0.500
Mo: 0.250 0.250 0.250
Mo: 0.750 0.750 0.750
Al: 0.000 0.000 0.000

Symmetry = Fm-3m, No. 225
Offset from the most stable computed form = 388.0 meV/atom
DFT formation energy = 0.574 eV/atom

Record 13
AlMo2Pb: optimized geometry, PBE-GGA.

Cell lengths 4.025, 4.025, 10.206 Å; angles 78.63, 78.63, 90.00 degrees
Atoms (fractional coordinates):
Pb: 0.000 0.000 0.000
Pb: 0.750 0.250 0.500
Mo: 0.562 0.125 0.250
Mo: 0.188 0.625 0.250
Mo: 0.375 0.438 0.750
Mo: 0.875 0.812 0.750
Al: 0.500 0.500 0.000
Al: 0.250 0.750 0.500

Symmetry = I-42d, No. 122
Offset from the most stable computed form = 463.9 meV/atom
DFT formation energy = 0.650 eV/atom

Record 14
Al2MoPb: optimized geometry, PBE-GGA.

Cell lengths 4.646, 3.078, 5.534 Å; angles 73.87, 90.00, 90.00 degrees
Atoms (fractional coordinates):
Pb: 0.500 0.702 0.720
Mo: 0.000 0.319 0.487
Al: 0.000 0.036 0.053
Al: 0.500 0.443 0.240

Symmetry = Amm2, No. 38
DFT formation energy = 0.296 eV/atom

Record 15
AlMoPb2: optimized geometry, PBE-GGA.

Cell lengths 3.253, 3.253, 8.723 Å; angles 90.00, 90.00, 90.00 degrees
Each line ends with the local moment (μB).
Atoms (fractional coordinates):
Pb: 0.000 0.000 0.976  0.00
Pb: 0.000 0.000 0.524  0.00
Mo: 0.500 0.500 0.750  1.02
Al: 0.500 0.500 0.250  0.00

Symmetry = P4/mmm, No. 123
DFT formation energy = 0.649 eV/atom

Record 16
Al2MoPb: optimized geometry, PBE-GGA.

Cell lengths 5.240, 5.240, 5.240 Å; angles 133.95, 133.95, 67.16 degrees
Each line ends with the local moment (μB).
Atoms (fractional coordinates):
Pb: 0.750 0.250 0.500  0.01
Mo: 0.500 0.500 0.000  1.08
Al: 0.000 0.000 0.000  0.00
Al: 0.250 0.750 0.500  0.00

Symmetry = I-4m2, No. 119
DFT formation energy = 0.368 eV/atom

Record 17
AlMo2Pb: optimized geometry, PBE-GGA.

Cell lengths 4.299, 4.055, 4.055 Å; angles 90.00, 90.00, 90.00 degrees
Atoms (fractional coordinates):
Pb: 0.500 0.500 0.000
Mo: 0.000 0.000 0.000
Mo: 0.000 0.500 0.500
Al: 0.500 0.000 0.500

Symmetry = P4/mmm, No. 123
Offset from the most stable computed form = 403.7 meV/atom
DFT formation energy = 0.590 eV/atom

Record 18
Al2MoPb: optimized geometry, PBE-GGA.

Cell lengths 7.876, 7.876, 6.225 Å; angles 50.76, 50.76, 90.00 degrees
Atoms (fractional coordinates):
Pb: 0.000 0.000 0.000
Pb: 0.750 0.250 0.500
Mo: 0.500 0.500 0.000
Mo: 0.250 0.750 0.500
Al: 0.572 0.125 0.250
Al: 0.178 0.625 0.250
Al: 0.375 0.428 0.750
Al: 0.875 0.822 0.750

Symmetry = I-42d, No. 122
DFT formation energy = 0.655 eV/atom

Record 19
Al2MoPb: optimized geometry, PBE-GGA.

Cell lengths 3.005, 3.005, 8.820 Å; angles 90.00, 90.00, 99.67 degrees
Atoms (fractional coordinates):
Pb: 0.500 0.500 0.728
Mo: 0.000 0.000 0.465
Al: 0.000 0.000 0.044
Al: 0.500 0.500 0.263

Symmetry = Cmm2, No. 35
DFT formation energy = 0.345 eV/atom

Record 20
AlMoPb2: optimized geometry, PBE-GGA.

Cell lengths 3.560, 4.926, 4.926 Å; angles 90.00, 90.00, 90.00 degrees
Atoms (fractional coordinates):
Pb: 0.000 0.000 0.000
Pb: 0.000 0.500 0.500
Mo: 0.500 0.000 0.500
Al: 0.500 0.500 0.000

Symmetry = P4/mmm, No. 123
DFT formation energy = 0.708 eV/atom